Density functional theory data (PBE) for a relaxed structure of SrAlTl2.

Properties
- VASP energy: -0.0955 hartree per atom
- DFT formation energy: -60 meV per atom
- Total moment: 0.000 μB per atom

Cell and atoms, written as extended XYZ:
```
4
Lattice="5.320 0.000 0.000 0.000 3.871 -0.281 0.000 0.618 5.783" Properties=species:S:1:pos:R:3 pbc="T T T"
Al 0.000 1.740 2.855
Tl 0.000 3.532 0.194
Tl 2.660 1.579 1.120
Sr 2.660 3.752 3.803
```